Record 1
GaAg: optimized geometry, PBE.

Cell: 4.4285 4.1915 4.6393 Å, 72.35 40.24 101.95°
Fractional positions:
Ga 0.0834 0.7790 0.4920
Ag 0.3866 0.2810 0.6447

Computed properties:
Spin magnetization (μB/f.u.): 0.00
Density (g/cm3): 7.93
ΔH_f (0 K) (eV per atom): 0.032
Fermi-level density of states (states/eV per cell): 0.64
Uncorrected energy (eV per atom): -2.907


Record 2
Hf2BiPt: optimized geometry, PBE.

Cell: 7.7558 7.7558 6.2835 Å, 51.89 51.89 90.00°
Fractional positions:
Hf 0.5847 0.1250 0.2500
Hf 0.1653 0.6250 0.2500
Hf 0.3750 0.4153 0.7500
Hf 0.8750 0.8347 0.7500
Bi 0.0000 0.0000 0.0000
Bi 0.7500 0.2500 0.5000
Pt 0.5000 0.5000 0.0000
Pt 0.2500 0.7500 0.5000

Computed properties:
Spin magnetization (μB/f.u.): 0.00
Density (g/cm3): 13.70
ΔH_f (0 K) (eV per atom): -0.306
Fermi-level density of states (states/eV per cell): 5.60
Uncorrected energy (eV per atom): -7.763


Record 3
HfBeTc2F: optimized geometry, PBE.

Cell: 4.1631 4.2113 4.1631 Å, 90.00 90.00 90.00°
Each line ends with the local moment (μB).
Fractional positions:
Be 0.5000 0.5000 0.5000  -0.01
Hf 0.0000 0.5000 0.0000  -0.04
Tc 0.0000 0.0000 0.5000  0.41
Tc 0.5000 0.0000 0.0000  0.22
F 0.0000 0.0000 0.0000  0.00

Computed properties:
Spin magnetization (μB/f.u.): 0.60
Density (g/cm3): 9.16
Fermi-level density of states (states/eV per cell): 5.46
Uncorrected energy (eV per atom): -6.881
Uncorrected formation energy (eV per atom): 0.38


Which of these has the lowest Fermi-level density of states? GaAg